VASP calculation (PBE-GGA) on a geometry-optimized MoOs5 structure.

## Properties
As for the total magnetization: 0.00 μB/f.u. The energy relative to the elements comes out at -17 meV/atom. As for the calculated volume: 174 Å³ per cell.

Cell lengths 4.3829, 2.7626, 14.3904 Å; angles 90.00, 90.00, 90.00 degrees
Last column: nearest neighbours and their distance in Å.
Space group Amm2 (No. 38)
Asymmetric unit:
Mo  0.0000  0.0000  0.0000 [2 per cell]  10 Os 2.71-2.80, 2 Mo 2.76
Os  0.0000  0.0000  0.3308 [2 per cell]  10 Os 2.70-2.76, 2 Mo 2.80
Os  0.0000  0.0000  0.6668 [2 per cell]  10 Os 2.71-2.76, 2 Mo 2.77
Os  0.5000  0.0000  0.1108 [2 per cell]  2 Mo 2.71, 10 Os 2.71-2.78
Os  0.5000  0.0000  0.4433 [2 per cell]  4 Mo 2.72, 8 Os 2.72-2.78
Os  0.5000  0.0000  0.7782 [2 per cell]  12 Os 2.70-2.78